An optimized crystal structure of Hg2AuBr. Source: Alexandria via LeMat-Bulk, functional PBE.

Results
The calculation puts the polymorph energy (0 for the lowest one) at 108.2 meV/atom. The space group is Imm2 (44). The calculated total energy comes out at -10.81 eV for the cell shown.

a = 3.7600 Å, b = 6.5852 Å, c = 8.9236 Å
α = 90.00°, β = 90.00°, γ = 90.00°
Fractional positions:
Hg 0.0000 0.0000 0.0000
Hg 0.0000 0.5000 0.2401
Hg 0.5000 0.0000 0.7401
Hg 0.5000 0.5000 0.5000
Au 0.0000 0.5000 0.7290
Au 0.5000 0.0000 0.2290
Br 0.0000 0.0000 0.4525
Br 0.5000 0.5000 0.9525

An optimized crystal structure of Hg4AuBr. Source: Alexandria via LeMat-Bulk, functional PBE.

Results
The calculation puts the polymorph energy (0 for the lowest one) at 0.0 meV/atom. The space group is P2_1/c (14). The calculated total energy comes out at -26.57 eV for the cell shown.

a = 12.2311 Å, b = 6.7322 Å, c = 11.0231 Å
α = 90.00°, β = 103.46°, γ = 90.00°
Fractional positions:
Hg 0.0010 0.0013 0.2517
Hg 0.0010 0.4987 0.7517
Hg 0.1904 0.7241 0.0489
Hg 0.1904 0.7759 0.5489
Hg 0.3261 0.0583 0.8783
Hg 0.3261 0.4417 0.3783
Hg 0.3404 0.0313 0.2891
Hg 0.3404 0.4687 0.7891
Hg 0.6596 0.5313 0.2109
Hg 0.6596 0.9687 0.7109
Hg 0.6739 0.5583 0.6217
Hg 0.6739 0.9417 0.1217
Hg 0.8096 0.2241 0.4511
Hg 0.8096 0.2759 0.9511
Hg 0.9990 0.5013 0.2483
Hg 0.9990 0.9987 0.7483
Au 0.1806 0.7491 0.2966
Au 0.1806 0.7509 0.7966
Au 0.8194 0.2491 0.2034
Au 0.8194 0.2509 0.7034
Br 0.4493 0.2398 0.1159
Br 0.4493 0.2602 0.6159
Br 0.5507 0.7398 0.3841
Br 0.5507 0.7602 0.8841

An optimized crystal structure of HgAuBr. Source: Alexandria via LeMat-Bulk, functional PBE.

Results
The calculation puts the polymorph energy (0 for the lowest one) at 310.6 meV/atom. The space group is I4mm (107). The calculated total energy comes out at -9.51 eV for the cell shown.

a = 3.5181 Å, b = 3.5181 Å, c = 11.5486 Å
α = 90.00°, β = 90.00°, γ = 90.00°
Fractional positions:
Hg 0.0000 0.0000 0.0000
Hg 0.5000 0.5000 0.5000
Au 0.0000 0.0000 0.3691
Au 0.5000 0.5000 0.8691
Br 0.0000 0.0000 0.6996
Br 0.5000 0.5000 0.1996

An optimized crystal structure of Hg2Au2Br. Source: Alexandria via LeMat-Bulk, functional PBE.

Results
The calculation puts the polymorph energy (0 for the lowest one) at 0.0 meV/atom. The space group is I4/mmm (139). The calculated total energy comes out at -17.61 eV for the cell shown.

a = 4.0172 Å, b = 4.0172 Å, c = 14.7039 Å
α = 90.00°, β = 90.00°, γ = 90.00°
Fractional positions:
Hg 0.0000 0.0000 0.1016
Hg 0.0000 0.0000 0.8984
Hg 0.5000 0.5000 0.3984
Hg 0.5000 0.5000 0.6016
Au 0.0000 0.5000 0.2500
Au 0.0000 0.5000 0.7500
Au 0.5000 0.0000 0.2500
Au 0.5000 0.0000 0.7500
Br 0.0000 0.0000 0.5000
Br 0.5000 0.5000 0.0000

no.,uncorrected formation energy (meV per atom)
1,37
2,-81
3,166
4,6